VASP calculation (PBE) on a relaxed HoSc5Ga4 crystal.

Results
- formation energy from the elements (eV per formula unit) = -4.71
- total energy (Ha/atom) = -0.1950
- total magnetization (μB per formula unit) = 0.0
- DOS(E_F) (states/eV/cell) = 7.30
- V (Å³/atom) = 20.71

Cell: 3.3218 3.3218 18.7678 Å, 90.00 90.00 90.00°
Element x y z (fractional)
Ho: 0.0000 0.0000 0.0000
Sc: 0.5000 0.5000 0.1327
Sc: 0.5000 0.5000 0.3161
Sc: 0.5000 0.5000 0.5000
Sc: 0.5000 0.5000 0.6839
Sc: 0.5000 0.5000 0.8673
Ga: 0.0000 0.0000 0.2231
Ga: 0.0000 0.0000 0.4079
Ga: 0.0000 0.0000 0.5921
Ga: 0.0000 0.0000 0.7769